(1)
# LaDyPuMg

A relaxed structure of LaDyPuMg (PBE, Alexandria via LeMat-Bulk).

Summary:
The calculation puts the energy of formation at 0.146 eV/atom.

Cell and atoms, written as CIF:
```
data_LaDyPuMg
_space_group_name_H-M_alt 'F -4 3 m'
_space_group_IT_number 216
_space_group_name_Hall 'F -4 2 3'
_cell_length_a 7.837
_cell_length_b 7.837
_cell_length_c 7.837
_cell_angle_alpha 90.00
_cell_angle_beta 90.00
_cell_angle_gamma 90.00
loop_
_atom_site_label
_atom_site_fract_x
_atom_site_fract_y
_atom_site_fract_z
_atom_site_occupancy
La1 0.000 0.000 0.000 1
Dy1 0.000 0.000 0.500 1
Pu1 0.250 0.250 0.250 1
Mg1 0.250 0.250 0.750 1
```



(2)
# LaDyMgRu

A relaxed structure of LaDyMgRu (PBE, Alexandria via LeMat-Bulk).

Summary:
The calculation puts the energy of formation at -0.109 eV/atom.

Cell and atoms, written as CIF:
```
data_LaDyMgRu
_space_group_name_H-M_alt 'F -4 3 m'
_space_group_IT_number 216
_space_group_name_Hall 'F -4 2 3'
_cell_length_a 7.278
_cell_length_b 7.278
_cell_length_c 7.278
_cell_angle_alpha 90.00
_cell_angle_beta 90.00
_cell_angle_gamma 90.00
loop_
_atom_site_label
_atom_site_fract_x
_atom_site_fract_y
_atom_site_fract_z
_atom_site_occupancy
La1 0.000 0.000 0.000 1
Dy1 0.000 0.000 0.500 1
Mg1 0.250 0.250 0.750 1
Ru1 0.250 0.250 0.250 1
```



(3)
# La3Dy3MgS8

A relaxed structure of La3Dy3MgS8 (PBE, Alexandria via LeMat-Bulk).

Summary:
The value obtained for the uncorrected formation energy is -2.02 eV per atom.

Cell and atoms, written as CIF:
```
data_La3Dy3MgS8
_space_group_name_H-M_alt 'R -3 m'
_space_group_IT_number 166
_space_group_name_Hall '-R 3 2"'
_cell_length_a 7.9244
_cell_length_b 7.9244
_cell_length_c 19.9905
_cell_angle_alpha 90.00
_cell_angle_beta 90.00
_cell_angle_gamma 120.00
loop_
_atom_site_label
_atom_site_fract_x
_atom_site_fract_y
_atom_site_fract_z
_atom_site_occupancy
La1 0.0000 0.5000 0.0000 1
Dy1 0.0000 0.5000 0.5000 1
Mg1 0.0000 0.0000 0.5000 1
S1 0.0000 0.0000 0.2436 1
S2 0.0090 0.5045 0.2417 1
```



(4)
# La2DyMgSe5

A relaxed structure of La2DyMgSe5 (PBE, Alexandria via LeMat-Bulk).

Summary:
The value obtained for the uncorrected formation energy is -1.79 eV per atom.

Cell and atoms, written as CIF:
```
data_La2DyMgSe5
_space_group_name_H-M_alt 'C m c 21'
_space_group_IT_number 36
_cell_length_a 4.162
_cell_length_b 17.584
_cell_length_c 12.794
_cell_angle_alpha 90.00
_cell_angle_beta 90.00
_cell_angle_gamma 90.00
loop_
_space_group_symop_operation_xyz
'x,y,z'
'-x,-y,z+1/2'
'-x,y,z'
'x,-y,z+1/2'
'x+1/2,y+1/2,z'
'-x+1/2,-y+1/2,z+1/2'
'-x+1/2,y+1/2,z'
'x+1/2,-y+1/2,z+1/2'
loop_
_atom_site_label
_atom_site_fract_x
_atom_site_fract_y
_atom_site_fract_z
_atom_site_occupancy
La1 0.000 0.111 0.000 1
La2 0.000 0.136 0.618 1
Dy1 0.000 0.205 0.324 1
Mg1 0.000 0.467 0.771 1
Se1 0.000 0.049 0.380 1
Se2 0.000 0.285 0.979 1
Se3 0.000 0.316 0.671 1
Se4 0.000 0.366 0.313 1
Se5 0.000 0.493 0.084 1
```



(5)
# LaDyMgSi

A relaxed structure of LaDyMgSi (PBE, Alexandria via LeMat-Bulk).

Summary:
The value obtained for the uncorrected formation energy is -0.29 eV per atom.

Cell and atoms, written as CIF:
```
data_LaDyMgSi
_space_group_name_H-M_alt 'F -4 3 m'
_space_group_IT_number 216
_space_group_name_Hall 'F -4 2 3'
_cell_length_a 7.377
_cell_length_b 7.377
_cell_length_c 7.377
_cell_angle_alpha 90.00
_cell_angle_beta 90.00
_cell_angle_gamma 90.00
loop_
_atom_site_label
_atom_site_fract_x
_atom_site_fract_y
_atom_site_fract_z
_atom_site_occupancy
La1 0.000 0.000 0.000 1
Dy1 0.000 0.000 0.500 1
Mg1 0.250 0.250 0.750 1
Si1 0.250 0.250 0.250 1
```



(6)
# La4Sm2DyMg

A relaxed structure of La4Sm2DyMg (PBE, Alexandria via LeMat-Bulk).

Summary:
The calculation puts the energy of formation at 0.002 eV/atom.

Cell and atoms, written as CIF:
```
data_La4Sm2DyMg
_space_group_name_H-M_alt 'P 4/m m m'
_space_group_IT_number 123
_space_group_name_Hall '-P 4 2'
_cell_length_a 5.163
_cell_length_b 5.163
_cell_length_c 10.149
_cell_angle_alpha 90.00
_cell_angle_beta 90.00
_cell_angle_gamma 90.00
loop_
_atom_site_label
_atom_site_fract_x
_atom_site_fract_y
_atom_site_fract_z
_atom_site_occupancy
La1 0.000 0.500 0.246 1
Sm1 0.000 0.000 0.000 1
Sm2 0.500 0.500 0.500 1
Dy1 0.000 0.000 0.500 1
Mg1 0.500 0.500 0.000 1
```



(7)
# LaSm2DyMg

A relaxed structure of LaSm2DyMg (PBE, Alexandria via LeMat-Bulk).

Summary:
The calculation puts the energy of formation at 0.018 eV/atom.

Cell and atoms, written as CIF:
```
data_LaSm2DyMg
_space_group_name_H-M_alt 'P 1 21/m 1'
_space_group_IT_number 11
_cell_length_a 6.271
_cell_length_b 5.688
_cell_length_c 9.487
_cell_angle_alpha 90.00
_cell_angle_beta 108.78
_cell_angle_gamma 90.00
loop_
_space_group_symop_operation_xyz
'x,y,z'
'-x,-y,-z'
'-x,y+1/2,-z'
'x,-y+1/2,z'
loop_
_atom_site_label
_atom_site_fract_x
_atom_site_fract_y
_atom_site_fract_z
_atom_site_occupancy
La1 0.036 0.250 0.389 1
Sm1 0.375 0.750 0.392 1
Sm2 0.452 0.250 0.199 1
Dy1 0.158 0.750 0.998 1
Mg1 0.232 0.250 0.810 1
```



(8)
# La6SmDy2Mg

A relaxed structure of La6SmDy2Mg (PBE, Alexandria via LeMat-Bulk).

Summary:
The calculation puts the energy of formation at 0.091 eV/atom.

Cell and atoms, written as CIF:
```
data_La6SmDy2Mg
_space_group_name_H-M_alt 'C 1 2/c 1'
_space_group_IT_number 15
_cell_length_a 10.651
_cell_length_b 13.847
_cell_length_c 9.463
_cell_angle_alpha 90.00
_cell_angle_beta 99.05
_cell_angle_gamma 90.00
loop_
_space_group_symop_operation_xyz
'x,y,z'
'-x,-y,-z'
'-x,y,-z+1/2'
'x,-y,z+1/2'
'x+1/2,y+1/2,z'
'-x+1/2,-y+1/2,-z'
'-x+1/2,y+1/2,-z+1/2'
'x+1/2,-y+1/2,z+1/2'
loop_
_atom_site_label
_atom_site_fract_x
_atom_site_fract_y
_atom_site_fract_z
_atom_site_occupancy
La1 0.059 0.120 0.100 1
La2 0.088 0.332 0.917 1
La3 0.245 0.289 0.329 1
Sm1 0.000 0.430 0.250 1
Dy1 0.231 0.467 0.595 1
Mg1 0.000 0.096 0.750 1
```



(9)
# LaSm2Dy4Mg

A relaxed structure of LaSm2Dy4Mg (PBE, Alexandria via LeMat-Bulk).

Summary:
The calculation puts the energy of formation at 0.115 eV/atom.

Cell and atoms, written as CIF:
```
data_LaSm2Dy4Mg
_space_group_name_H-M_alt 'P 4/m m m'
_space_group_IT_number 123
_space_group_name_Hall '-P 4 2'
_cell_length_a 5.743
_cell_length_b 5.743
_cell_length_c 7.749
_cell_angle_alpha 90.00
_cell_angle_beta 90.00
_cell_angle_gamma 90.00
loop_
_atom_site_label
_atom_site_fract_x
_atom_site_fract_y
_atom_site_fract_z
_atom_site_occupancy
La1 0.000 0.000 0.000 1
Sm1 0.000 0.000 0.500 1
Sm2 0.500 0.500 0.500 1
Dy1 0.000 0.500 0.239 1
Mg1 0.500 0.500 0.000 1
```



(10)
# La2Sm2DyMg5

A relaxed structure of La2Sm2DyMg5 (PBE, Alexandria via LeMat-Bulk).

Summary:
The calculation puts the energy of formation at 0.002 eV/atom.

Cell and atoms, written as CIF:
```
data_La2Sm2DyMg5
_space_group_name_H-M_alt 'P 4/m b m'
_space_group_IT_number 127
_space_group_name_Hall '-P 4 2ab'
_cell_length_a 10.687
_cell_length_b 10.687
_cell_length_c 5.155
_cell_angle_alpha 90.00
_cell_angle_beta 90.00
_cell_angle_gamma 90.00
loop_
_atom_site_label
_atom_site_fract_x
_atom_site_fract_y
_atom_site_fract_z
_atom_site_occupancy
La1 0.175 0.325 0.000 1
Sm1 0.123 0.623 0.000 1
Dy1 0.000 0.000 0.000 1
Mg1 0.000 0.500 0.500 1
Mg2 0.071 0.805 0.500 1
```



Number 1: calculated volume 481.29 Å³/cell. Number 2: calculated volume 385.58 Å³/cell. Number 3: calculated volume 1087.12 Å³/cell. Number 4: calculated volume 936.32 Å³/cell. Number 5: calculated volume 401.43 Å³/cell. Number 6: calculated volume 270.55 Å³/cell. Number 7: calculated volume 320.36 Å³/cell. Number 8: calculated volume 1378.26 Å³/cell. Number 9: calculated volume 255.58 Å³/cell. Number 10: calculated volume 588.80 Å³/cell.